VASP calculation (GGA-PBE) on crystalline MgP2Cl at its relaxed geometry.

Values from the calculation:
* formation energy (no corrections): -0.393 eV per atom
* crystal system: monoclinic
* ΔE to the lowest computed polymorph: 182 meV per atom
* volume: 82.0 Å³/cell

Cell: 6.2574 6.2574 4.2613 Å, 99.49 99.49 29.91°
Last column: nearest neighbours and their distance in Å.
Positions (direct):
Mg1 0.0000 0.0000 0.0000  4 Cl 2.67
P1 0.2763 0.2763 0.8619  2 P 2.16
P2 0.7237 0.7237 0.1381  2 P 2.16
Cl1 0.5000 0.5000 0.5000  4 Mg 2.67